# LiMnPCl2, optimized geometry, DFT PBE-GGA
# - mass density (Mg/m³) = 2.370
# - offset from the most stable computed form (meV/atom) = 0
# - total DFT energy (no corrections) (eV per atom) = -4.478
# - magnetization (μB/f.u.) = 2.9
# - formation energy from raw total energies (eV/atom) = -0.441
data_LiMnPCl2
_space_group_name_H-M_alt 'P 4/m m m'
_space_group_IT_number 123
_space_group_name_Hall '-P 4 2'
_cell_length_a 5.058
_cell_length_b 5.058
_cell_length_c 4.486
_cell_angle_alpha 90.00
_cell_angle_beta 90.00
_cell_angle_gamma 90.00
loop_
_atom_site_label
_atom_site_type_symbol
_atom_site_fract_x
_atom_site_fract_y
_atom_site_fract_z
Li1 Li 0.000 0.000 0.000
Mn1 Mn 0.500 0.500 0.500
P1 P 0.500 0.500 0.000
Cl1 Cl 0.000 0.500 0.500